(1)
Material: FeCoCBr
Method: DFT, GGA-PBE
State: relaxed

The structure in extended XYZ format:
```
8
Lattice="3.624 0.000 0.000 0.000 3.292 0.000 0.000 0.000 10.437" Properties=species:S:1:pos:R:3 pbc="T T T"
C 0.000 1.646 1.583
C 0.000 0.000 6.801
Co 1.812 0.000 6.608
Co 1.812 1.646 1.390
Fe 0.000 1.646 7.645
Fe 0.000 0.000 2.426
Br 1.812 0.000 4.183
Br 1.812 1.646 9.402
```

## Properties
Formation energy from raw total energies, meV per atom: 438
Energy above the lowest structure with this stoichiometry, eV per formula unit: 0.59

---

(2)
Material: Tb3ErTm7
Method: DFT, GGA-PBE
State: relaxed

The structure in extended XYZ format:
```
11
Lattice="4.606 -0.100 -2.877 -1.077 9.646 -2.061 -1.029 -0.797 8.634" Properties=species:S:1:pos:R:3 pbc="T T T"
Tm 0.154 1.553 0.195
Tm 2.346 7.197 3.502
Tm -0.056 5.476 4.845
Tm -0.328 2.277 4.520
Tm 2.556 3.273 -1.148
Tm 1.789 -0.448 2.879
Tm 2.828 6.473 -0.823
Tb -0.538 4.823 -1.030
Tb 2.010 9.355 -2.239
Tb 0.490 -0.605 5.936
Er 1.250 4.375 1.848
```

## Properties
Energy relative to the elements, eV/atom: 0.16

---

(3)
Material: Ba3TbPa2O9
Method: DFT, GGA-PBE
State: relaxed

The structure in extended XYZ format:
```
15
Lattice="-3.621 -2.498 -4.533 0.915 -3.144 5.402 -6.217 3.454 3.063" Properties=species:S:1:pos:R:3 pbc="T T T"
O 0.457 -1.572 2.701
O -1.353 -2.821 0.434
O -5.229 0.927 1.425
O -2.366 -0.346 2.080
O -1.811 -1.249 -2.267
O -1.917 -1.888 4.731
O -6.557 -1.841 1.851
O -3.694 -3.114 2.507
O -7.006 -0.299 -0.800
Ba -4.262 -1.517 -0.161
Ba 0.000 0.000 0.000
Ba -4.661 -0.670 4.093
Tb -3.109 1.727 1.532
Pa -1.647 -2.345 2.608
Pa -7.276 0.158 1.324
```

## Properties
Formation energy from raw total energies, meV per atom: -3268

---

(4)
Material: Pr3Co3Cu
Method: DFT, GGA-PBE
State: relaxed

The structure in extended XYZ format:
```
14
Lattice="-2.171 -0.702 3.761 5.535 -0.378 0.552 0.581 12.368 2.645" Properties=species:S:1:pos:R:3 pbc="T T T"
Cu -1.086 -0.351 1.881
Cu -0.795 5.833 3.203
Pr 4.421 2.391 2.999
Pr 2.542 10.756 3.476
Pr 1.404 0.531 3.482
Pr 1.574 4.154 4.257
Pr 2.371 7.133 2.701
Pr -0.476 8.896 3.959
Co 0.615 0.950 0.532
Co 0.807 5.049 1.409
Co 1.645 2.846 1.481
Co 2.300 8.441 5.477
Co 3.138 6.238 5.549
Co 3.331 10.338 6.426
```

## Properties
Energy relative to the elements, eV/atom: -0.06

---

(5)
Material: PrEr2Au
Method: DFT, GGA-PBE
State: relaxed

The structure in extended XYZ format:
```
4
Lattice="-1.098 -3.240 1.576 -1.203 -2.836 -2.167 8.428 -5.448 -0.824" Properties=species:S:1:pos:R:3 pbc="T T T"
Er 6.599 -4.767 -0.700
Er 1.077 -2.711 -0.323
Au -1.508 -4.060 -0.396
Pr 3.023 -5.746 -0.705
```

## Properties
Energy relative to the elements, eV/atom: -0.30
Energy above the lowest structure with this stoichiometry, eV per formula unit: 0.47

---

(6)
Material: SmDy5Se6
Method: DFT, GGA-PBE
State: relaxed

The structure in extended XYZ format:
```
12
Lattice="-2.777 2.340 -6.088 -1.871 -6.329 2.587 -3.455 4.203 4.561" Properties=species:S:1:pos:R:3 pbc="T T T"
Se -1.905 -1.419 1.742
Se -4.327 -1.915 -1.462
Se -6.197 1.633 -0.681
Se -2.213 1.525 -1.205
Se -5.890 -1.311 2.266
Se -3.775 2.129 2.522
Dy -2.173 -3.432 -0.311
Dy -4.357 3.033 -2.398
Dy -3.745 -2.819 3.459
Dy -2.474 -0.557 -3.189
Dy -4.051 0.107 0.530
Sm 0.000 0.000 0.000
```

## Properties
Formation energy from raw total energies, meV per atom: -1762

---

(7)
Material: Pm3Nd6Dy2
Method: DFT, GGA-PBE
State: relaxed

The structure in extended XYZ format:
```
11
Lattice="-2.939 3.072 -2.286 -2.305 -3.720 -2.036 -8.136 -0.196 15.290" Properties=species:S:1:pos:R:3 pbc="T T T"
Pm -9.130 -0.639 5.782
Pm -4.249 -0.205 5.186
Pm 0.000 0.000 0.000
Nd -3.723 -1.984 2.119
Nd -6.427 -0.311 7.844
Nd -6.952 -0.534 3.124
Nd -9.340 -2.256 8.973
Nd -9.657 1.140 8.848
Nd -4.040 1.412 1.994
Dy -3.593 -0.371 -0.976
Dy -9.787 -0.473 11.944
```

## Properties
Energy relative to the elements, eV/atom: 0.27
Energy above the lowest structure with this stoichiometry, eV per formula unit: 2.88

---

(8)
Material: Rb6Al3Cl14
Method: DFT, GGA-PBE
State: relaxed

The structure in extended XYZ format:
```
23
Lattice="-2.570 5.983 0.552 -7.510 -4.003 8.417 10.721 4.319 3.110" Properties=species:S:1:pos:R:3 pbc="T T T"
Al 3.776 3.566 5.065
Al -2.116 4.926 0.454
Al -2.685 1.685 6.917
Cl 0.856 6.172 9.990
Cl -1.251 2.913 0.269
Cl -2.144 3.235 8.673
Cl -0.335 1.260 6.675
Cl 3.367 4.032 7.162
Cl -3.233 0.155 5.150
Cl 6.619 9.151 4.531
Cl -5.034 2.133 7.167
Cl 4.634 1.568 4.881
Cl -2.913 -0.024 8.587
Cl 1.901 3.699 3.948
Cl -0.808 6.224 1.676
Cl 5.158 5.067 4.279
Cl -2.476 3.409 5.253
Rb -0.059 0.889 9.912
Rb -0.675 1.223 3.417
Rb 2.722 6.491 1.969
Rb -0.036 4.859 6.811
Rb -5.541 -1.201 7.039
Rb 5.302 7.123 7.133
```

## Properties
Formation energy from raw total energies, meV per atom: -1704

---

(9)
Material: CuSeS3
Method: DFT, GGA-PBE
State: relaxed

The structure in extended XYZ format:
```
5
Lattice="4.485 0.000 0.000 0.000 4.485 0.000 0.000 0.000 4.485" Properties=species:S:1:pos:R:3 pbc="T T T"
S 0.000 2.242 0.000
S 0.000 0.000 2.242
S 2.242 0.000 0.000
Se 2.242 2.242 2.242
Cu 0.000 0.000 0.000
```

## Properties
Formation energy from raw total energies, meV per atom: 749
Energy above the lowest structure with this stoichiometry, eV per formula unit: 0.00

---

(10)
Material: V2CoSi4
Method: DFT, GGA-PBE
State: relaxed

The structure in extended XYZ format:
```
7
Lattice="-0.280 0.799 4.258 1.393 -4.024 0.847 6.157 0.327 2.557" Properties=species:S:1:pos:R:3 pbc="T T T"
Si 0.696 -2.012 0.423
Si 4.038 -0.407 2.555
Si 3.231 -2.491 5.106
Si -0.140 0.399 2.129
Co 0.000 0.000 0.000
V 5.546 -1.689 5.108
V 1.724 -1.208 2.553
```

## Properties
Formation energy from raw total energies, meV per atom: 356

---

(11)
Material: Mn3AlRh
Method: DFT, GGA-PBE
State: relaxed

The structure in extended XYZ format:
```
5
Lattice="4.155 0.000 0.000 0.000 4.155 0.000 0.000 0.000 4.155" Properties=species:S:1:pos:R:3 pbc="T T T"
Mn 0.000 0.000 2.078
Mn 2.078 0.000 0.000
Mn 0.000 2.078 0.000
Rh 2.078 2.078 2.078
Al 0.000 0.000 0.000
```

## Properties
Energy relative to the elements, eV/atom: 1.51
Energy above the lowest structure with this stoichiometry, eV per formula unit: 2.93

---

(12)
Material: PIrO
Method: DFT, GGA-PBE
State: relaxed

The structure in extended XYZ format:
```
9
Lattice="-1.552 0.498 3.015 -0.332 -3.000 -1.624 9.828 -4.203 5.755" Properties=species:S:1:pos:R:3 pbc="T T T"
Ir -0.359 -1.004 1.930
Ir 7.339 -3.139 4.298
Ir 3.324 -3.572 2.302
O 8.752 -5.893 5.480
O 5.069 -3.325 5.108
O 2.938 -1.257 1.721
P 3.775 -2.772 4.350
P 1.644 -0.703 0.963
P 7.458 -5.339 4.723
```

## Properties
Formation energy from raw total energies, meV per atom: -951
Energy above the lowest structure with this stoichiometry, eV per formula unit: 0.22